PBE CuGeRu3, relaxed; ΔE to the lowest computed polymorph = 240 meV per atom; energy of formation = 1.559 eV/atom; crystal system = cubic; symmetry = No. 221; calculated total energy = -5.749 eV per atom
1.0
4.447 0.000 0.000
0.000 4.447 0.000
0.000 0.000 4.447
Cu Ge Ru
1 1 3
Direct
0.000 0.000 0.000
0.500 0.500 0.500
0.000 0.000 0.500
0.000 0.500 0.000
0.500 0.000 0.000

PBE MgC2Br2, relaxed; crystal system = tetragonal; ΔE_f (raw) = 0.4232 eV per atom; symmetry = No. 123; calculated total energy = -4.254 eV per atom
1.0
6.592 0.000 0.000
0.000 6.592 0.000
0.000 0.000 2.647
Mg C Br
1 2 2
Direct
0.000 0.000 0.000
0.500 0.500 0.000
0.500 0.500 0.500
0.000 0.500 0.500
0.500 0.000 0.500

PBE TiNbW2N, relaxed; crystal system = tetragonal; ΔE_f (raw) = -0.2692 eV per atom; symmetry = No. 123; calculated total energy = -10.708 eV per atom
1.0
4.231 0.000 0.000
0.000 4.231 0.000
0.000 0.000 4.053
Ti Nb W N
1 1 2 1
Direct
0.000 0.000 0.000
0.500 0.500 0.000
0.000 0.500 0.500
0.500 0.000 0.500
0.000 0.000 0.500

PBE CaIn2I, relaxed; ΔE to the lowest computed polymorph = 147 meV per atom; crystal system = cubic; ΔE_f (raw) = -0.0588 eV per atom; symmetry = No. 225; calculated total energy = -2.316 eV per atom
1.0
0.000 4.058 4.058
4.058 0.000 4.058
4.058 4.058 0.000
Ca In I
1 2 1
Direct
0.000 0.000 0.000
0.250 0.250 0.250
0.750 0.750 0.750
0.500 0.500 0.500

PBE NdAlZn, relaxed; energy of formation = -0.323 eV/atom; crystal system = cubic; symmetry = No. 216; calculated total energy = -3.585 eV per atom
1.0
0.000 3.300 3.300
3.300 0.000 3.300
3.300 3.300 0.000
Nd Al Zn
1 1 1
Direct
0.000 0.000 0.000
0.500 0.500 0.500
0.250 0.250 0.250

PBE BaNbPb, relaxed; ΔE to the lowest computed polymorph = 398 meV per atom; energy of formation = 0.415 eV/atom; crystal system = tetragonal; symmetry = No. 107; calculated total energy = -4.818 eV per atom
1.0
-1.972 1.972 6.178
1.972 -1.972 6.178
1.972 1.972 -6.178
Ba Nb Pb
1 1 1
Direct
0.000 0.000 0.000
0.282 0.282 0.000
0.719 0.719 0.000

| no. | V (Å³/cell) |
| --- | --- |
| 1 | 88 |
| 2 | 115 |
| 3 | 73 |
| 4 | 134 |
| 5 | 72 |
| 6 | 96 |